# ScCuSb2, relaxed, DFT GGA-PBE
data_ScCuSb2
_chemical_formula_sum 'Sc4 Cu4 Sb8'
_space_group_name_H-M_alt 'F -4 3 m'
_space_group_IT_number 216
_space_group_name_Hall 'F -4 2 3'
_cell_length_a 7.0902
_cell_length_b 7.0902
_cell_length_c 7.0902
_cell_angle_alpha 90.00
_cell_angle_beta 90.00
_cell_angle_gamma 90.00
loop_
_atom_site_label
_atom_site_fract_x
_atom_site_fract_y
_atom_site_fract_z
Sc1 0.0000 0.0000 0.0000
Cu1 0.2500 0.2500 0.7500
Sb1 0.0000 0.0000 0.5000
Sb2 0.2500 0.2500 0.2500
# Energy relative to the elements, uncorrected = 27.1 meV per atom
# Total moment = 0.00 μB/f.u.
# Calculated density = 6.56 g/cm³